HgIrSCl2 | Alexandria via LeMat-Bulk | PBE | optimized geometry; SG = P4/mmm; total energy = -16.55 eV/cell; total magnetic moment = 0.0 Bohr magnetons per cell; theoretical density = 7.2 g/cm³
1.0
5.064 0.000 0.000
0.000 5.064 0.000
0.000 0.000 4.445
S Hg Cl Ir
1 1 2 1
direct
0.000 0.000 0.500
0.500 0.500 0.500
0.000 0.500 0.000
0.500 0.000 0.000
0.000 0.000 0.000